Below is a PBEsol-optimized structure of SrCu2Ni, with properties calculated at the meta-GGA SCAN level.

extended XYZ file:
```
4
Lattice="3.557 -2.054 0.000 3.557 2.054 0.000 -2.389 0.000 5.072" Properties=species:S:1:pos:R:3 pbc="T T T"
Sr 0.000 0.000 0.000
Cu 2.366 0.000 2.587
Cu 4.738 0.000 2.209
Ni -0.005 0.000 2.850
```

Results
DOS(E_F) = 0.421 states/eV/atom
E = -17.26 eV per atom